## P
First-principles (PBE-GGA) data for a geometry-optimized CdRhAu structure, as listed in Alexandria via LeMat-Bulk.

a b c (Å): 3.0169 3.9349 8.7646
angles (deg): 90.00 90.00 90.00
Last column: nearest neighbours and their distance in Å.
Space group Imm2 (No. 44)
One atom of each set of equivalent atoms:
Cd: 0.0000 0.0000 0.0000 [2 per cell]  5 Rh 2.86-2.96, 5 Au 2.86-2.91, 2 Cd 3.02
Rh: 0.0000 0.0000 0.3372 [2 per cell]  5 Cd 2.86-2.96, 5 Au 2.86-2.95, 2 Rh 3.02
Au: 0.0000 0.0000 0.6734 [2 per cell]  5 Cd 2.86-2.91, 5 Rh 2.86-2.95, 2 Au 3.02

* density: 13.16 g/cm3

=====

## Q
First-principles (PBE-GGA) data for a geometry-optimized CdRhAu structure, as listed in Alexandria via LeMat-Bulk.

a b c (Å): 6.2768 6.2768 6.2768
angles (deg): 90.00 90.00 90.00
Last column: nearest neighbours and their distance in Å.
Space group F-43m (No. 216)
One atom of each set of equivalent atoms:
Cd: 0.0000 0.0000 0.0000 [4 per cell]  4 Rh 2.72
Rh: 0.2500 0.2500 0.2500 [4 per cell]  4 Au 2.72, 4 Cd 2.72
Au: 0.0000 0.0000 0.5000 [4 per cell]  4 Rh 2.72

* density: 11.07 g/cm3

=====

## R
First-principles (PBE-GGA) data for a geometry-optimized CdRhAu structure, as listed in Alexandria via LeMat-Bulk.

a b c (Å): 2.9910 2.9910 11.6373
angles (deg): 90.00 90.00 90.00
Last column: nearest neighbours and their distance in Å.
Space group I4mm (No. 107)
One atom of each set of equivalent atoms:
Cd: 0.0000 0.0000 0.0000 [2 per cell]  4 Rh 2.82, 4 Au 2.97, 4 Cd 2.99
Rh: 0.0000 0.0000 0.6601 [2 per cell]  4 Cd 2.82, 4 Au 2.82, 4 Rh 2.99
Au: 0.0000 0.0000 0.3205 [2 per cell]  4 Rh 2.82, 4 Cd 2.97, 4 Au 2.99

* density: 13.15 g/cm3

=====

Quick one: least stable of them? Q